This record from Alexandria describes a relaxed structure of PtSe3S. The functional is PBE.

Unit cell a=4.759 b=4.759 c=4.759 alpha=90.00 beta=90.00 gamma=90.00
Positions (direct):
Pt: 0.000 0.000 0.000
Se: 0.000 0.500 0.500
Se: 0.500 0.000 0.500
Se: 0.500 0.500 0.000
S: 0.500 0.500 0.500

Computed properties:
As for the magnetic moment: 0.0 μB per formula unit. The excess energy over the best structure of this formula in the dataset is 0.207 eV/atom. Its space group is No. 221. As for the density of states at the Fermi level: 1.14 states/eV/atom.